No. 1
# Na2HO

A relaxed Na2HO crystal (PBE-GGA, Alexandria via LeMat-Bulk).

a = 6.1013 Å, b = 6.1013 Å, c = 6.4342 Å
α = 90.00°, β = 90.00°, γ = 90.00°
Space group I-42d (No. 122)
Inequivalent atoms, fractional coordinates:
Na 0.2479 0.2500 0.1250 (multiplicity 8)
H 0.0000 0.0000 0.5000 (multiplicity 4)
O 0.0000 0.0000 0.0000 (multiplicity 4)

Offset from the most stable computed form, eV/f.u.: 0.396
Crystal system: tetragonal
E_tot, eV/atom: -3.12
Total moment, μB/atom: 0.2500

***

No. 2
# NaHO

A relaxed NaHO crystal (PBE-GGA, Alexandria via LeMat-Bulk).

a = 3.1985 Å, b = 6.0148 Å, c = 6.2661 Å
α = 90.00°, β = 90.00°, γ = 90.00°
Space group Pbcm (No. 57)
Inequivalent atoms, fractional coordinates:
Na 0.1556 0.2500 0.0000 (multiplicity 4)
H 0.4587 0.5179 0.2500 (multiplicity 4)
O 0.2888 0.5736 0.7500 (multiplicity 4)

Crystal system: orthorhombic
E_tot, eV/atom: -4.53
Total moment, μB/atom: 0.0000

***

No. 3
# NaH2O

A relaxed NaH2O crystal (PBE-GGA, Alexandria via LeMat-Bulk).

a = 6.5994 Å, b = 6.5994 Å, c = 10.2711 Å
α = 90.00°, β = 90.00°, γ = 120.00°
Space group R-3m (No. 166, hexagonal axes)
Inequivalent atoms, fractional coordinates:
Na 0.0000 0.0000 0.0000 (multiplicity 3)
Na 0.0000 0.0000 0.3232 (multiplicity 6)
H 0.0000 0.3397 0.5000 (multiplicity 18)
O 0.0000 0.5000 0.5000 (multiplicity 9)

Offset from the most stable computed form, eV/f.u.: 0.000
Crystal system: trigonal
E_tot, eV/atom: -3.75
Total moment, μB/atom: 0.0000

***

No. 4
# NaH2O

A relaxed NaH2O crystal (PBE-GGA, Alexandria via LeMat-Bulk).

a = 3.0854 Å, b = 3.0854 Å, c = 11.2527 Å
α = 90.00°, β = 90.00°, γ = 120.00°
Space group R-3m (No. 166, hexagonal axes)
Inequivalent atoms, fractional coordinates:
Na 0.0000 0.0000 0.0000 (multiplicity 3)
H 0.0000 0.0000 0.1918 (multiplicity 6)
O 0.0000 0.0000 0.5000 (multiplicity 3)

Offset from the most stable computed form, eV/f.u.: 2.922
Crystal system: trigonal
E_tot, eV/atom: -3.02
Total moment, μB/atom: 0.0000

***

No. 5
# Na2H16O9

A relaxed Na2H16O9 crystal (PBE-GGA, Alexandria via LeMat-Bulk).

a = 6.5375 Å, b = 12.3713 Å, c = 11.7785 Å
α = 90.00°, β = 103.52°, γ = 90.00°
Space group P2_1/c (No. 14)
Inequivalent atoms, fractional coordinates:
Na 0.0781 0.1819 0.0975 (multiplicity 4)
Na 0.0984 0.7068 0.1697 (multiplicity 4)
H 0.0270 0.5996 0.9514 (multiplicity 4)
H 0.0678 0.5014 0.7976 (multiplicity 4)
H 0.0721 0.5643 0.6292 (multiplicity 4)
H 0.1597 0.0794 0.4889 (multiplicity 4)
H 0.1667 0.0108 0.7865 (multiplicity 4)
H 0.2785 0.5975 0.5921 (multiplicity 4)
H 0.2792 0.6660 0.8873 (multiplicity 4)
H 0.2951 0.1888 0.8051 (multiplicity 4)
H 0.3460 0.5694 0.0619 (multiplicity 4)
H 0.3648 0.0084 0.4025 (multiplicity 4)
H 0.3673 0.1894 0.3218 (multiplicity 4)
H 0.3895 0.7164 0.3976 (multiplicity 4)
H 0.4002 0.5449 0.2027 (multiplicity 4)
H 0.4075 0.1016 0.9706 (multiplicity 4)
H 0.4642 0.0537 0.0995 (multiplicity 4)
H 0.4910 0.0933 0.7686 (multiplicity 4)
O 0.0235 0.5223 0.2793 (multiplicity 4)
O 0.0809 0.1386 0.5188 (multiplicity 4)
O 0.1312 0.6195 0.5836 (multiplicity 4)
O 0.2424 0.2358 0.2927 (multiplicity 4)
O 0.2516 0.5299 0.9274 (multiplicity 4)
O 0.2602 0.7426 0.8605 (multiplicity 4)
O 0.4057 0.1193 0.0525 (multiplicity 4)
O 0.4081 0.6005 0.1428 (multiplicity 4)
O 0.4213 0.0558 0.8220 (multiplicity 4)

Crystal system: monoclinic
E_tot, eV/atom: -4.87
Total moment, μB/atom: 0.0055

***

No. 6
# NaHO

A relaxed NaHO crystal (PBE-GGA, Alexandria via LeMat-Bulk).

a = 6.6863 Å, b = 3.4757 Å, c = 5.4671 Å
α = 90.00°, β = 90.00°, γ = 90.00°
Space group Pnma (No. 62)
Inequivalent atoms, fractional coordinates:
Na 0.1540 0.2500 0.1469 (multiplicity 4)
H 0.0095 0.2500 0.5867 (multiplicity 4)
O 0.1034 0.2500 0.7229 (multiplicity 4)

Crystal system: orthorhombic
E_tot, eV/atom: -4.53
Total moment, μB/atom: 0.0000

***

No. 7
# NaH8O5

A relaxed NaH8O5 crystal (PBE-GGA, Alexandria via LeMat-Bulk).

a = 14.3887 Å, b = 6.4953 Å, c = 11.5746 Å
α = 90.00°, β = 119.03°, γ = 90.00°
Space group C2/c (No. 15)
Inequivalent atoms, fractional coordinates:
Na 0.1985 0.0034 0.4280 (multiplicity 8)
H 0.0159 0.3067 0.3708 (multiplicity 8)
H 0.0573 0.0249 0.6604 (multiplicity 8)
H 0.0651 0.1789 0.5101 (multiplicity 8)
H 0.0772 0.2655 0.7055 (multiplicity 8)
H 0.0796 0.3752 0.9274 (multiplicity 8)
H 0.1150 0.2625 0.0635 (multiplicity 8)
H 0.1476 0.4111 0.2907 (multiplicity 8)
H 0.2338 0.1391 0.6837 (multiplicity 8)
O 0.0196 0.4817 0.7008 (multiplicity 8)
O 0.0339 0.1626 0.4137 (multiplicity 8)
O 0.1133 0.1344 0.6990 (multiplicity 8)
O 0.1426 0.3081 0.0058 (multiplicity 8)
O 0.2162 0.3406 0.3509 (multiplicity 8)

Crystal system: monoclinic
E_tot, eV/atom: -4.86
Total moment, μB/atom: 0.0049

***

No. 8
# Na2HO

A relaxed Na2HO crystal (PBE-GGA, Alexandria via LeMat-Bulk).

a = 5.7130 Å, b = 5.7130 Å, c = 5.7130 Å
α = 90.00°, β = 90.00°, γ = 90.00°
Space group Fm-3m (No. 225)
Inequivalent atoms, fractional coordinates:
Na 0.2500 0.2500 0.2500 (multiplicity 8)
H 0.0000 0.0000 0.0000 (multiplicity 4)
O 0.0000 0.0000 0.5000 (multiplicity 4)

Offset from the most stable computed form, eV/f.u.: 0.006
Crystal system: cubic
E_tot, eV/atom: -3.22
Total moment, μB/atom: 0.2405